Record 1
Below is a geometry-optimized TlIn3Si structure, with properties calculated at the PBEsol level.

```
TlIn3Si
1.0
5.496 0.000 0.000
0.000 5.496 0.000
0.000 0.000 5.496
Tl Si In
1 1 3
Direct
0.000 0.000 0.000
0.500 0.500 0.500
0.000 0.500 0.000
0.000 0.000 0.500
0.500 0.000 0.000
```

Values from the calculation:
- formation energy (no corrections) (eV/atom) = 0.955
- E (eV/atom) = -2.510
- crystal system = cubic


Record 2
Below is a geometry-optimized CaCd2Pb structure, with properties calculated at the PBEsol level.

```
CaCd2Pb
1.0
4.560 0.000 0.000
0.000 4.560 0.000
0.000 0.000 4.733
Pb Ca Cd
1 1 2
Direct
0.500 0.500 0.500
0.000 0.000 0.500
0.000 0.500 0.000
0.500 0.000 0.000
```

Values from the calculation:
- ΔH_f (0 K) (eV per atom) = -0.29
- E (eV/atom) = -2.422
- crystal system = tetragonal


Record 3
Below is a geometry-optimized RbNb2SiBr structure, with properties calculated at the PBEsol level.

```
RbNb2SiBr
1.0
-4.017 -2.441 -1.036
2.358 -2.429 -3.421
1.397 -3.877 3.716
Nb Si Br Rb
2 1 1 1
Direct
0.000 0.500 0.000
0.500 0.000 0.000
0.000 0.000 0.500
0.000 0.000 0.000
0.500 0.500 0.500
```

Values from the calculation:
- E above lowest polymorph (kJ/mol of formula units) = 226
- formation energy (no corrections) (eV/atom) = 1.408
- E (eV/atom) = -4.649
- crystal system = tetragonal


Record 4
Below is a geometry-optimized LiCaSb2 structure, with properties calculated at the PBEsol level.

```
LiCaSb2
1.0
-3.254 -0.640 3.376
-1.618 -3.817 -2.283
5.247 -0.298 1.684
Sb Ca Li
2 1 1
Direct
0.750 0.250 0.500
0.250 0.750 0.500
0.000 0.000 0.000
0.500 0.500 0.000
```

Values from the calculation:
- E above lowest polymorph (kJ/mol of formula units) = 6
- formation energy (no corrections) (eV/atom) = -0.643
- E (eV/atom) = -3.946
- crystal system = tetragonal


Record 5
Below is a geometry-optimized BaBe2Sb structure, with properties calculated at the PBEsol level.

```
BaBe2Sb
1.0
3.971 0.000 0.000
1.986 3.439 0.000
1.986 1.146 6.470
Sb Ba Be
1 1 2
Direct
0.453 0.453 0.640
0.264 0.264 0.209
0.052 0.052 0.843
0.719 0.719 0.844
```

Values from the calculation:
- formation energy (no corrections) (eV/atom) = -0.033
- E (eV/atom) = -3.710
- crystal system = trigonal


Record 6
Below is a geometry-optimized In2ReW structure, with properties calculated at the PBEsol level.

```
In2ReW
1.0
3.986 0.000 0.000
0.000 3.986 0.000
0.000 0.000 4.398
In Re W
2 1 1
Direct
0.000 0.500 0.000
0.500 0.000 0.000
0.500 0.500 0.500
0.000 0.000 0.500
```

Values from the calculation:
- E above lowest polymorph (kJ/mol of formula units) = 86
- ΔH_f (0 K) (eV per atom) = 0.77
- E (eV/atom) = -7.506
- crystal system = tetragonal


Record 7
Below is a geometry-optimized SrZn2Cr structure, with properties calculated at the PBEsol level.

```
SrZn2Cr
1.0
-1.876 0.793 2.694
-3.888 -2.731 -1.904
4.493 -2.899 1.866
Cr Sr Zn
1 1 2
Direct
0.462 0.462 0.923
0.259 0.759 0.518
0.039 0.039 0.078
0.740 0.240 0.481
```

Values from the calculation:
- ΔH_f (0 K) (eV per atom) = 0.43
- E (eV/atom) = -3.384
- crystal system = orthorhombic


Record 8
Below is a geometry-optimized TlZnSe2N structure, with properties calculated at the PBEsol level.

```
TlZnSe2N
1.0
-3.647 -0.219 -0.345
-0.483 -0.220 5.239
-0.333 5.251 0.190
Tl Zn Se N
1 1 2 1
Direct
0.500 0.500 0.500
0.000 0.000 0.000
0.000 0.000 0.500
0.000 0.500 0.000
0.500 0.000 0.000
```

Values from the calculation:
- formation energy (no corrections) (eV/atom) = 0.632
- E (eV/atom) = -3.456
- crystal system = tetragonal


Record 9
Below is a geometry-optimized HfAsPb2I structure, with properties calculated at the PBEsol level.

```
HfAsPb2I
1.0
5.190 0.000 0.000
0.000 5.826 0.000
0.000 0.000 5.826
Pb I As Hf
2 1 1 1
Direct
0.000 0.000 0.500
0.000 0.500 0.000
0.000 0.000 0.000
0.500 0.500 0.500
0.500 0.000 0.000
```

Values from the calculation:
- formation energy (no corrections) (eV/atom) = 1.238
- E (eV/atom) = -3.837
- crystal system = tetragonal


Record 10
Below is a geometry-optimized TaTiC2 structure, with properties calculated at the PBEsol level.

```
TaTiC2
1.0
5.351 0.003 0.002
4.453 2.967 0.002
4.453 1.349 2.642
C Ta Ti
2 1 1
Direct
0.751 0.751 0.751
0.249 0.249 0.249
0.000 0.000 0.000
0.500 0.500 0.500
```

Values from the calculation:
- E above lowest polymorph (kJ/mol of formula units) = 0
- ΔH_f (0 K) (eV per atom) = -0.83
- E (eV/atom) = -10.874
- crystal system = trigonal


Record 11
Below is a geometry-optimized TiSbMo3 structure, with properties calculated at the PBEsol level.

```
TiSbMo3
1.0
-3.915 1.484 -2.336
-2.473 -0.059 4.107
1.242 4.559 0.813
Sb Mo Ti
1 3 1
Direct
0.000 0.000 0.000
0.000 0.500 0.000
0.000 0.000 0.500
0.500 0.000 0.000
0.500 0.500 0.500
```

Values from the calculation:
- formation energy (no corrections) (eV/atom) = 1.986
- E (eV/atom) = -7.650
- crystal system = cubic


Record 12
Below is a geometry-optimized Ti3InSi structure, with properties calculated at the PBEsol level.

```
Ti3InSi
1.0
4.584 0.000 0.000
0.000 4.584 0.000
0.000 0.000 4.584
Si Ti In
1 3 1
Direct
0.000 0.000 0.000
0.000 0.500 0.000
0.000 0.000 0.500
0.500 0.000 0.000
0.500 0.500 0.500
```

Values from the calculation:
- formation energy (no corrections) (eV/atom) = 0.032
- E (eV/atom) = -6.708
- crystal system = cubic


Record 13
Below is a geometry-optimized HfNiS3 structure, with properties calculated at the PBEsol level.

```
HfNiS3
1.0
-1.259 -1.726 -3.763
-3.478 -1.693 1.940
-2.246 3.588 -0.895
Ni S Hf
1 3 1
Direct
0.000 0.000 0.000
0.000 0.500 0.000
0.000 0.000 0.500
0.500 0.000 0.000
0.500 0.500 0.500
```

Values from the calculation:
- formation energy (no corrections) (eV/atom) = -0.252
- E (eV/atom) = -6.214
- crystal system = cubic


Record 14
Below is a geometry-optimized YTiIN2 structure, with properties calculated at the PBEsol level.

```
YTiIN2
1.0
4.298 0.000 0.000
0.000 4.298 0.000
0.000 0.000 5.503
I Y N Ti
1 1 2 1
Direct
0.000 0.000 0.000
0.000 0.000 0.500
0.000 0.500 0.000
0.500 0.000 0.000
0.500 0.500 0.500
```

Values from the calculation:
- formation energy (no corrections) (eV/atom) = 1.833
- E (eV/atom) = -4.960
- crystal system = tetragonal


Record 15
Below is a geometry-optimized SrLiCl2 structure, with properties calculated at the PBEsol level.

```
SrLiCl2
1.0
-3.300 -0.086 -1.391
-0.929 -2.528 2.361
-3.055 7.460 6.787
Cl Li Sr
2 1 1
Direct
0.000 0.000 0.651
0.000 0.000 0.349
0.500 0.500 0.000
0.500 0.500 0.500
```

Values from the calculation:
- E above lowest polymorph (kJ/mol of formula units) = 48
- formation energy (no corrections) (eV/atom) = -1.508
- E (eV/atom) = -3.464
- crystal system = tetragonal


Record 16
Below is a geometry-optimized MnAgH8O4F4 structure, with properties calculated at the PBEsol level.

```
MnAgH8O4F4
1.0
-4.033 3.340 -3.960
-2.997 -6.056 -2.055
-3.637 -0.396 6.470
Mn Ag H O F
2 2 16 8 8
Direct
0.275 0.750 0.541
0.725 0.250 0.459
0.036 0.750 0.051
0.964 0.250 0.949
0.955 0.628 0.635
0.045 0.128 0.365
0.045 0.372 0.365
0.955 0.872 0.635
0.544 0.632 0.374
0.456 0.132 0.626
0.456 0.368 0.626
0.544 0.868 0.374
0.647 0.538 0.889
0.353 0.038 0.111
0.353 0.462 0.111
0.647 0.962 0.889
0.705 0.494 0.107
0.295 0.994 0.893
0.295 0.506 0.893
0.705 0.006 0.107
0.046 0.750 0.653
0.954 0.250 0.347
0.519 0.750 0.444
0.481 0.250 0.556
0.767 0.515 0.999
0.233 0.015 0.001
0.233 0.485 0.001
0.767 0.985 0.999
0.416 0.543 0.728
0.584 0.043 0.272
0.584 0.457 0.272
0.416 0.957 0.728
0.150 0.548 0.370
0.850 0.048 0.630
0.850 0.452 0.630
0.150 0.952 0.370
```

Values from the calculation:
- E (eV/atom) = -5.138
- crystal system = monoclinic


Record 17
Below is a geometry-optimized Mg3ZrGe structure, with properties calculated at the PBEsol level.

```
Mg3ZrGe
1.0
5.424 0.000 0.000
0.000 5.424 0.000
0.000 0.000 5.424
Ge Mg Zr
1 3 1
Direct
0.500 0.500 0.500
0.000 0.500 0.000
0.000 0.000 0.500
0.500 0.000 0.000
0.000 0.000 0.000
```

Values from the calculation:
- ΔH_f (0 K) (eV per atom) = 1.36
- E (eV/atom) = -2.481
- crystal system = cubic


Record 18
Below is a geometry-optimized MnAlCd2 structure, with properties calculated at the PBEsol level.

```
MnAlCd2
1.0
2.898 0.000 0.000
0.000 2.898 0.000
0.000 0.000 8.060
Mn Al Cd
1 1 2
Direct
0.000 0.000 0.521
0.500 0.500 0.713
0.000 0.000 0.987
0.500 0.500 0.278
```

Values from the calculation:
- ΔH_f (0 K) (eV per atom) = 0.10
- E (eV/atom) = -3.963
- crystal system = tetragonal


Record 19
Below is a geometry-optimized Ru5Rh structure, with properties calculated at the PBEsol level.

```
Ru5Rh
1.0
2.686 0.000 0.000
0.000 4.247 0.000
-1.343 0.000 6.982
Rh Ru
1 5
Direct
0.000 0.000 0.001
0.222 0.500 0.445
0.331 0.000 0.663
0.556 0.500 0.112
0.668 0.000 0.336
0.888 0.500 0.777
```

Values from the calculation:
- E above lowest polymorph (kJ/mol of formula units) = 0
- ΔH_f (0 K) (eV per atom) = 0.00
- E (eV/atom) = -9.838
- crystal system = orthorhombic


Record 20
Below is a geometry-optimized Cd2SiAg structure, with properties calculated at the PBEsol level.

```
Cd2SiAg
1.0
-0.661 -2.718 3.037
4.135 -0.150 0.765
-0.393 3.164 2.746
Ag Cd Si
1 2 1
Direct
0.500 0.000 0.000
0.000 0.000 0.500
0.000 0.500 0.000
0.500 0.500 0.500
```

Values from the calculation:
- formation energy (no corrections) (eV/atom) = 0.201
- E (eV/atom) = -2.662
- crystal system = tetragonal